Entry 1:
First-principles (PBE) data for crystalline La2InBiPt at its relaxed geometry, as listed in Alexandria via LeMat-Bulk.

Computed properties:
**Crystal system**: tetragonal
**DOS at the Fermi energy**: 0.954 states/eV/atom
**Formation energy**: -0.433 eV per atom
**Relative energy among the computed polymorphs**: 1.550 eV/f.u.

Unit cell a=5.6163 b=5.4642 c=5.6163 alpha=90.00 beta=90.00 gamma=90.00
Fractional positions:
Bi (0.0000, 0.5000, 0.0000)
In (0.5000, 0.5000, 0.5000)
La (0.5000, 0.0000, 0.0000)
La (0.0000, 0.0000, 0.5000)
Pt (0.0000, 0.0000, 0.0000)


Entry 2:
First-principles (PBE) data for crystalline CaHg5 at its relaxed geometry, as listed in Alexandria via LeMat-Bulk.

Computed properties:
**Crystal system**: orthorhombic
**DOS at the Fermi energy**: 0.322 states/eV/atom
**Formation energy**: -0.241 eV per atom
**Relative energy among the computed polymorphs**: 0.088 eV/f.u.

Unit cell a=5.2629 b=5.2482 c=6.1806 alpha=115.12 beta=90.00 gamma=90.00
Fractional positions:
Hg (0.5000, 0.0000, 0.0000)
Hg (0.0000, 0.1753, 0.3505)
Hg (0.5000, 0.6679, 0.3358)
Hg (0.0000, 0.8247, 0.6495)
Hg (0.5000, 0.3321, 0.6642)
Ca (0.0000, 0.5000, 0.0000)


Entry 3:
First-principles (PBE) data for crystalline MnSe2Br at its relaxed geometry, as listed in Alexandria via LeMat-Bulk.

Computed properties:
**Crystal system**: trigonal
**DOS at the Fermi energy**: 0.690 states/eV/atom
**Relative energy among the computed polymorphs**: 1.229 eV/f.u.
**Formation energy without anion corrections**: -54 meV per atom

Unit cell a=9.2402 b=9.2402 c=9.2402 alpha=21.56 beta=21.56 gamma=21.56
Last column: magnetic moment on the atom in μB.
Fractional positions:
Se (0.0199, 0.0199, 0.0199)  -0.21
Se (0.2690, 0.2690, 0.2690)  -0.22
Br (0.4692, 0.4692, 0.4692)  0.06
Mn (0.7419, 0.7419, 0.7419)  3.33


Entry 4:
First-principles (PBE) data for crystalline BeSb4Os at its relaxed geometry, as listed in Alexandria via LeMat-Bulk.

Computed properties:
**Crystal system**: cubic
**DOS at the Fermi energy**: 0.640 states/eV/atom
**Formation energy without anion corrections**: 1501 meV per atom

Unit cell a=5.9959 b=5.9959 c=5.9959 alpha=60.00 beta=60.00 gamma=60.00
Last column: magnetic moment on the atom in μB.
Fractional positions:
Sb (0.3750, 0.3750, 0.3750)  0.02
Sb (0.3750, 0.8749, 0.3750)  0.02
Sb (0.3750, 0.3750, 0.8749)  0.02
Sb (0.8749, 0.3750, 0.3750)  0.02
Os (0.0000, 0.0000, 0.0000)  2.01
Be (0.7500, 0.7500, 0.7500)  -0.01


Entry 5:
First-principles (PBE) data for crystalline Li8SnPb2 at its relaxed geometry, as listed in Alexandria via LeMat-Bulk.

Computed properties:
**Crystal system**: monoclinic
**DOS at the Fermi energy**: 0.112 states/eV/atom
**Formation energy**: -0.308 eV per atom
**Relative energy among the computed polymorphs**: 0.000 eV/f.u.

Unit cell a=4.8442 b=5.5854 c=8.1845 alpha=91.55 beta=107.21 gamma=90.00
Fractional positions:
Li (0.5942, 0.4584, 0.1883)
Li (0.8645, 0.8329, 0.7290)
Li (0.1355, 0.1671, 0.2710)
Li (0.3204, 0.0715, 0.6407)
Li (0.9657, 0.2512, 0.9313)
Li (0.6796, 0.9285, 0.3593)
Li (0.4058, 0.5416, 0.8117)
Li (0.0344, 0.7488, 0.0687)
Pb (0.7906, 0.3573, 0.5813)
Pb (0.2094, 0.6427, 0.4187)
Sn (0.5000, 0.0000, 0.0000)


Entry 6:
First-principles (PBE) data for crystalline La2Nd5Dy2 at its relaxed geometry, as listed in Alexandria via LeMat-Bulk.

Computed properties:
**Crystal system**: orthorhombic
**DOS at the Fermi energy**: 1.552 states/eV/atom
**Formation energy**: 0.188 eV per atom
**Relative energy among the computed polymorphs**: 1.519 eV/f.u.

Unit cell a=12.0841 b=6.9261 c=10.2849 alpha=109.68 beta=125.98 gamma=90.00
Fractional positions:
Dy (0.5000, 0.5298, 0.0000)
Dy (0.7425, 0.8478, 0.5000)
Dy (0.0000, 0.0298, 0.0000)
Dy (0.2575, 0.3478, 0.5000)
Nd (0.8038, 0.2621, 0.1067)
Nd (0.8029, 0.7621, 0.1067)
Nd (0.1971, 0.6554, 0.8933)
Nd (0.3770, 0.0216, 0.2861)
Nd (0.1962, 0.1554, 0.8933)
Nd (0.4091, 0.5216, 0.2861)
Nd (0.6230, 0.7354, 0.7139)
Nd (0.5909, 0.2354, 0.7139)
Nd (0.9898, 0.1621, 0.5000)
Nd (0.0102, 0.6621, 0.5000)
La (0.8707, 0.4351, 0.7484)
La (0.3778, 0.9351, 0.7484)
La (0.6222, 0.1867, 0.2516)
La (0.1293, 0.6867, 0.2516)


Entry 7:
First-principles (PBE) data for crystalline Ac2SiP at its relaxed geometry, as listed in Alexandria via LeMat-Bulk.

Computed properties:
**Crystal system**: tetragonal
**DOS at the Fermi energy**: 0.408 states/eV/atom
**Relative energy among the computed polymorphs**: 1.216 eV/f.u.
**Formation energy without anion corrections**: -709 meV per atom

Unit cell a=3.7265 b=3.7265 c=7.9642 alpha=90.00 beta=90.00 gamma=90.00
Fractional positions:
Si (0.5000, 0.5000, 0.0000)
Ac (0.0000, 0.0000, 0.7315)
Ac (0.0000, 0.0000, 0.2685)
P (0.5000, 0.5000, 0.5000)


Entry 8:
First-principles (PBE) data for crystalline Cs3Sr2NbO6 at its relaxed geometry, as listed in Alexandria via LeMat-Bulk.

Computed properties:
**Crystal system**: monoclinic
**DOS at the Fermi energy**: 0.000 states/eV/atom
**Formation energy without anion corrections**: -2201 meV per atom

Unit cell a=6.2974 b=6.2974 c=7.0924 alpha=98.35 beta=98.35 gamma=120.01
Fractional positions:
Nb (0.0000, 0.0000, 0.0000)
O (0.9438, 0.6694, 0.8328)
O (0.3306, 0.0562, 0.1672)
O (0.2185, 0.2185, 0.8283)
O (0.7815, 0.7815, 0.1717)
O (0.6694, 0.9438, 0.8328)
O (0.0562, 0.3306, 0.1672)
Sr (0.3333, 0.6667, 0.0000)
Sr (0.6667, 0.3333, 0.0000)
Cs (0.1662, 0.8338, 0.5000)
Cs (0.8338, 0.1662, 0.5000)
Cs (0.5000, 0.5000, 0.5000)


Entry 9:
First-principles (PBE) data for crystalline Pa2BeNb at its relaxed geometry, as listed in Alexandria via LeMat-Bulk.

Computed properties:
**Crystal system**: trigonal
**DOS at the Fermi energy**: 1.589 states/eV/atom
**Formation energy**: 0.530 eV per atom

Unit cell a=3.0337 b=3.0337 c=10.4458 alpha=81.65 beta=81.65 gamma=60.00
Fractional positions:
Pa (0.9074, 0.9074, 0.2779)
Pa (0.0926, 0.0926, 0.7221)
Be (0.5000, 0.5000, 0.5000)
Nb (0.0000, 0.0000, 0.0000)


Entry 10:
First-principles (PBE) data for crystalline AcLa2Sn2Hg2 at its relaxed geometry, as listed in Alexandria via LeMat-Bulk.

Computed properties:
**Crystal system**: trigonal
**DOS at the Fermi energy**: 0.836 states/eV/atom
**Formation energy**: -0.432 eV per atom

Unit cell a=5.0924 b=5.0924 c=10.1290 alpha=75.44 beta=75.44 gamma=60.00
Fractional positions:
La (0.8670, 0.8670, 0.3989)
La (0.1330, 0.1330, 0.6011)
Sn (0.7336, 0.7336, 0.7993)
Sn (0.2664, 0.2664, 0.2007)
Ac (0.0000, 0.0000, 0.0000)
Hg (0.4283, 0.4283, 0.7151)
Hg (0.5717, 0.5717, 0.2849)


Entry 11:
First-principles (PBE) data for crystalline Cd4Hg3Bi at its relaxed geometry, as listed in Alexandria via LeMat-Bulk.

Computed properties:
**Crystal system**: triclinic
**DOS at the Fermi energy**: 0.329 states/eV/atom
**Formation energy**: 0.047 eV per atom

Unit cell a=4.0766 b=7.9126 c=7.3351 alpha=74.91 beta=72.74 gamma=72.21
Fractional positions:
Hg (0.9998, 0.9998, 0.0001)
Hg (0.9999, 0.4998, 0.5001)
Hg (0.5001, 0.0005, 0.4998)
Bi (0.5001, 0.5005, 0.9999)
Cd (0.5344, 0.2415, 0.7330)
Cd (0.4646, 0.7586, 0.2678)
Cd (0.0004, 0.2431, 0.2591)
Cd (0.0004, 0.7573, 0.7399)


Entry 12:
First-principles (PBE) data for crystalline Th2Si2Ir5 at its relaxed geometry, as listed in Alexandria via LeMat-Bulk.

Computed properties:
**Crystal system**: tetragonal
**DOS at the Fermi energy**: 0.269 states/eV/atom
**Formation energy without anion corrections**: -940 meV per atom

Unit cell a=4.1871 b=4.1871 c=9.0976 alpha=90.00 beta=90.00 gamma=90.00
Fractional positions:
Ir (0.0000, 0.5000, 0.2616)
Ir (0.5000, 0.0000, 0.7384)
Ir (0.0000, 0.5000, 0.7384)
Ir (0.5000, 0.0000, 0.2616)
Ir (0.5000, 0.5000, 0.5000)
Si (0.5000, 0.5000, 0.8630)
Si (0.5000, 0.5000, 0.1370)
Th (0.0000, 0.0000, 0.0000)
Th (0.0000, 0.0000, 0.5000)


Entry 13:
First-principles (PBE) data for crystalline AsPbF7 at its relaxed geometry, as listed in Alexandria via LeMat-Bulk.

Computed properties:
**Crystal system**: triclinic
**DOS at the Fermi energy**: 0.000 states/eV/atom
**Formation energy without anion corrections**: -2235 meV per atom

Unit cell a=4.8109 b=7.3428 c=7.8117 alpha=105.04 beta=96.58 gamma=92.36
Fractional positions:
F (0.5207, 0.2042, 0.5056)
F (0.1787, 0.3990, 0.3871)
F (0.4990, 0.9845, 0.1931)
F (0.3799, 0.6693, 0.7536)
F (0.9380, 0.9504, 0.6683)
F (0.2755, 0.5826, 0.0830)
F (0.7245, 0.4174, 0.9170)
F (0.1567, 0.1862, 0.0766)
F (0.8213, 0.6010, 0.6129)
F (0.8433, 0.8138, 0.9234)
F (0.0620, 0.0495, 0.3317)
F (0.6201, 0.3307, 0.2464)
F (0.5010, 0.0155, 0.8069)
F (0.4793, 0.7958, 0.4944)
As (0.3391, 0.1916, 0.2916)
As (0.6609, 0.8084, 0.7084)
Pb (0.7794, 0.6565, 0.1834)
Pb (0.2206, 0.3435, 0.8166)


Entry 14:
First-principles (PBE) data for crystalline Zr3Ag2Pd8 at its relaxed geometry, as listed in Alexandria via LeMat-Bulk.

Computed properties:
**Crystal system**: trigonal
**DOS at the Fermi energy**: 0.528 states/eV/atom
**Formation energy**: -0.281 eV per atom

Unit cell a=5.2818 b=5.2818 c=10.3343 alpha=75.19 beta=75.19 gamma=60.00
Fractional positions:
Pd (0.2764, 0.2764, 0.1708)
Pd (0.7752, 0.2745, 0.6759)
Pd (0.7236, 0.7236, 0.8292)
Pd (0.2745, 0.7752, 0.6759)
Pd (0.2248, 0.7255, 0.3241)
Pd (0.2745, 0.2745, 0.6759)
Pd (0.7255, 0.7255, 0.3241)
Pd (0.7255, 0.2248, 0.3241)
Ag (0.3636, 0.3636, 0.9093)
Ag (0.6364, 0.6364, 0.0907)
Zr (0.0000, 0.0000, 0.0000)
Zr (0.8113, 0.8113, 0.5662)
Zr (0.1887, 0.1887, 0.4338)


Entry 15:
First-principles (PBE) data for crystalline Th2CrCu3Ni12 at its relaxed geometry, as listed in Alexandria via LeMat-Bulk.

Computed properties:
**Crystal system**: trigonal
**DOS at the Fermi energy**: 1.134 states/eV/atom
**Formation energy**: 0.198 eV per atom

Unit cell a=8.8603 b=8.8603 c=8.8603 alpha=40.40 beta=40.40 gamma=40.40
Last column: magnetic moment on the atom in μB.
Fractional positions:
Ni (0.4212, 0.8092, 0.4212)  0.06
Ni (0.0770, 0.0770, 0.6432)  0.06
Ni (0.9230, 0.9230, 0.3568)  0.06
Ni (0.6432, 0.0770, 0.0770)  0.06
Ni (0.1908, 0.5788, 0.5788)  0.06
Ni (0.3568, 0.9230, 0.9230)  0.06
Ni (0.8092, 0.4212, 0.4212)  0.06
Ni (0.5788, 0.1908, 0.5788)  0.06
Ni (0.0770, 0.6432, 0.0770)  0.06
Ni (0.4212, 0.4212, 0.8092)  0.06
Ni (0.5788, 0.5788, 0.1908)  0.06
Ni (0.9230, 0.3568, 0.9230)  0.06
Th (0.3489, 0.3489, 0.3489)  -0.02
Th (0.6511, 0.6511, 0.6511)  -0.02
Cu (0.0000, 0.0000, 0.5000)  0.01
Cu (0.0000, 0.5000, 0.0000)  0.01
Cu (0.5000, 0.0000, 0.0000)  0.01
Cr (0.0000, 0.0000, 0.0000)  0.81


Entry 16:
First-principles (PBE) data for crystalline SrLiZnOs at its relaxed geometry, as listed in Alexandria via LeMat-Bulk.

Computed properties:
**Crystal system**: monoclinic
**DOS at the Fermi energy**: 0.740 states/eV/atom
**Formation energy**: 0.380 eV per atom
**Relative energy among the computed polymorphs**: 0.533 eV/f.u.

Unit cell a=5.7392 b=2.8908 c=9.4096 alpha=90.00 beta=97.37 gamma=90.00
Fractional positions:
Sr (0.8004, 0.0000, 0.7647)
Sr (0.8004, 0.5000, 0.2647)
Zn (0.4625, 0.5000, 0.5043)
Zn (0.4625, 0.0000, 0.0043)
Li (0.1186, 0.5000, 0.0391)
Li (0.1186, 0.0000, 0.5391)
Os (0.3096, 0.5000, 0.7721)
Os (0.3096, 0.0000, 0.2721)


Entry 17:
First-principles (PBE) data for crystalline Ce5Al at its relaxed geometry, as listed in Alexandria via LeMat-Bulk.

Computed properties:
**Crystal system**: monoclinic
**DOS at the Fermi energy**: 3.110 states/eV/atom
**Formation energy**: -0.066 eV per atom
**Relative energy among the computed polymorphs**: 0.000 eV/f.u.

Unit cell a=5.1057 b=5.1056 c=6.6147 alpha=89.93 beta=90.00 gamma=120.00
Last column: magnetic moment on the atom in μB.
Fractional positions:
Ce (0.0280, 0.0561, 0.6657)  0.38
Ce (0.3608, 0.7217, 0.1121)  0.38
Ce (0.3616, 0.7232, 0.6657)  0.38
Ce (0.0273, 0.0546, 0.1121)  0.38
Ce (0.6944, 0.3889, 0.3890)  0.52
Al (0.6944, 0.3889, 0.8888)  -0.01


Entry 18:
First-principles (PBE) data for crystalline Ho2Al2InPt5 at its relaxed geometry, as listed in Alexandria via LeMat-Bulk.

Computed properties:
**Crystal system**: tetragonal
**DOS at the Fermi energy**: 0.362 states/eV/atom
**Formation energy**: -0.967 eV per atom

Unit cell a=3.7393 b=9.8630 c=9.8630 alpha=90.00 beta=90.00 gamma=90.00
Fractional positions:
Al (0.0000, 0.6203, 0.8797)
Al (0.0000, 0.8797, 0.3797)
Al (0.0000, 0.1203, 0.6203)
Al (0.0000, 0.3797, 0.1203)
Pt (0.5000, 0.7875, 0.9323)
Pt (0.5000, 0.7125, 0.4323)
Pt (0.5000, 0.0677, 0.7875)
Pt (0.5000, 0.4323, 0.2875)
Pt (0.5000, 0.0000, 0.5000)
Pt (0.5000, 0.2875, 0.5677)
Pt (0.5000, 0.9323, 0.2125)
Pt (0.5000, 0.5677, 0.7125)
Pt (0.5000, 0.5000, 0.0000)
Pt (0.5000, 0.2125, 0.0677)
In (0.0000, 0.0000, 0.0000)
In (0.0000, 0.5000, 0.5000)
Ho (0.0000, 0.3225, 0.8225)
Ho (0.0000, 0.6775, 0.1775)
Ho (0.0000, 0.1775, 0.3225)
Ho (0.0000, 0.8225, 0.6775)